## ErAlSi (GGA-PBE)

Data for ErAlSi after structural relaxation.

a b c (Å): 5.800 5.694 7.668
angles (deg): 70.31 90.00 90.00
Atoms (fractional coordinates):
Si 0.500 0.000 0.750
Si 0.000 0.000 0.750
Si 0.500 0.000 0.250
Si 0.000 0.000 0.250
Al 0.750 0.790 0.553
Al 0.750 0.790 0.053
Al 0.250 0.210 0.447
Al 0.250 0.210 0.947
Er 0.250 0.653 0.087
Er 0.250 0.653 0.587
Er 0.750 0.347 0.913
Er 0.750 0.347 0.413

Results
* uncorrected formation energy: -380 meV/atom

## Ca2TmPuAs4 (GGA-PBE)

Data for Ca2TmPuAs4 after structural relaxation.

a b c (Å): 4.187 7.164 7.233
angles (deg): 109.52 90.00 90.00
Atoms (fractional coordinates):
Ca 0.500 0.000 0.500
Ca 0.000 0.500 0.500
Tm 0.000 0.000 0.000
Pu 0.500 0.500 0.000
As 0.500 0.248 0.231
As 0.500 0.752 0.769
As 0.000 0.260 0.771
As 0.000 0.740 0.229

Results
* VASP energy: -0.2315 hartree per atom

## CdMo4 (GGA-PBE)

Data for CdMo4 after structural relaxation.

a b c (Å): 4.770 4.770 4.770
angles (deg): 90.00 90.00 90.00
Atoms (fractional coordinates):
Mo 0.000 0.000 0.000
Mo 0.500 0.000 0.500
Mo 0.000 0.500 0.500
Mo 0.500 0.500 0.000
Cd 0.500 0.500 0.500

Results
* ΔE to the lowest computed polymorph: 2.092 eV/atom

## HgP2IrSe (GGA-PBE)

Data for HgP2IrSe after structural relaxation.

a b c (Å): 4.485 5.636 4.485
angles (deg): 90.00 90.00 90.00
Atoms (fractional coordinates):
P 0.000 0.000 0.500
P 0.500 0.000 0.000
Ir 0.000 0.000 0.000
Hg 0.500 0.500 0.500
Se 0.000 0.500 0.000

Results
* uncorrected formation energy: 462 meV/atom

## Er2Zr3Si4 (GGA-PBE)

Data for Er2Zr3Si4 after structural relaxation.

a b c (Å): 7.094 7.299 7.307
angles (deg): 90.00 90.00 108.05
Atoms (fractional coordinates):
Er 0.575 0.193 0.327
Er 0.925 0.807 0.827
Er 0.425 0.807 0.673
Er 0.075 0.193 0.173
Zr 0.000 0.500 0.500
Zr 0.500 0.500 0.000
Zr 0.749 0.251 0.818
Zr 0.751 0.749 0.318
Zr 0.251 0.749 0.182
Zr 0.249 0.251 0.682
Si 0.870 0.081 0.531
Si 0.630 0.919 0.031
Si 0.130 0.919 0.469
Si 0.370 0.081 0.969
Si 0.873 0.491 0.122
Si 0.627 0.509 0.622
Si 0.127 0.509 0.878
Si 0.373 0.491 0.378

Results
* uncorrected formation energy: -880 meV/atom

## SrInSi2 (GGA-PBE)

Data for SrInSi2 after structural relaxation.

a b c (Å): 5.156 5.156 5.156
angles (deg): 60.00 60.00 60.00
Atoms (fractional coordinates):
In 0.500 0.500 0.500
Si 0.000 0.000 0.000
Si 0.250 0.250 0.250
Sr 0.750 0.750 0.750

Results
* uncorrected formation energy: 273 meV/atom